# FeP2AuCl (SCAN, single point on PBEsol structure)
data_FeP2AuCl
_space_group_name_H-M_alt 'P 4/m m m'
_space_group_IT_number 123
_space_group_name_Hall '-P 4 2'
_cell_length_a 4.7272
_cell_length_b 4.7272
_cell_length_c 4.8858
_cell_angle_alpha 90.00
_cell_angle_beta 90.00
_cell_angle_gamma 90.00
loop_
_atom_site_label
_atom_site_type_symbol
_atom_site_fract_x
_atom_site_fract_y
_atom_site_fract_z
Fe1 Fe 0.0000 0.0000 0.0000
P1 P 0.0000 0.5000 0.5000
Au1 Au 0.5000 0.5000 0.5000
Cl1 Cl 0.5000 0.5000 0.0000
# Formation energy (no corrections) ... 5.68 eV/f.u.
# Energy ... -110.38 eV for the cell shown